[1]
! Pr3RuIBr, relaxed, DFT GGA-PBE; values from VASP
&SYSTEM
  ibrav = 0, nat = 12, ntyp = 4
/
ATOMIC_SPECIES
Pr 140.91 Pr.upf
Ru 101.07 Ru.upf
I 126.90 I.upf
Br 79.90 Br.upf
ATOMIC_POSITIONS angstrom
Pr 0.817 1.056 3.331
Pr 0.561 1.056 9.094
Pr 2.157 3.169 6.247
Pr 6.587 1.056 3.810
Pr 8.183 3.169 0.964
Pr 7.927 3.169 6.727
Ru 0.208 1.056 6.220
Ru 8.537 3.169 3.837
I 3.664 3.169 3.308
I 5.080 1.056 6.750
Br 2.704 3.169 9.231
Br 6.041 1.056 0.826
CELL_PARAMETERS angstrom
9.533 0.000 0.000
0.000 4.225 0.000
-0.789 0.000 10.058
! DOS(E_F): 3.24 states/eV/f.u.
! Density: 5.99 g/cm³
! Magnetization: 1.67 μB/cell
! Space group: P2_1/m (11)
! Formation energy from raw total energies: -821 meV/atom

---

[2]
! Pr4RuI2Br, relaxed, DFT GGA-PBE; values from VASP
&SYSTEM
  ibrav = 0, nat = 8, ntyp = 4
/
ATOMIC_SPECIES
Pr 140.91 Pr.upf
Ru 101.07 Ru.upf
I 126.90 I.upf
Br 79.90 Br.upf
ATOMIC_POSITIONS angstrom
Pr 1.123 0.000 1.518
Pr -0.006 2.093 6.385
Pr 5.706 2.093 1.612
Pr 4.577 0.000 6.479
Ru 0.000 2.093 0.000
I -1.136 0.000 3.998
I 2.850 2.093 3.998
Br 3.986 0.000 0.000
CELL_PARAMETERS angstrom
7.972 0.000 0.000
0.000 4.185 0.000
-2.272 0.000 7.996
! DOS(E_F): 5.52 states/eV/f.u.
! Density: 6.21 g/cm³
! Magnetization: 0.00 μB/cell
! Space group: P2/m (10)
! Formation energy from raw total energies: -841 meV/atom

---

[3]
! Pr8Ru3I4Br, relaxed, DFT GGA-PBE; values from VASP
&SYSTEM
  ibrav = 0, nat = 16, ntyp = 4
/
ATOMIC_SPECIES
Pr 140.91 Pr.upf
Ru 101.07 Ru.upf
I 126.90 I.upf
Br 79.90 Br.upf
ATOMIC_POSITIONS angstrom
Pr -2.359 -1.362 13.669
Pr 0.000 0.000 5.578
Pr 0.000 -2.724 10.625
Pr -2.359 1.362 10.625
Pr 2.359 -1.362 13.669
Pr 0.000 2.724 13.669
Pr 0.000 0.000 18.716
Pr 2.359 1.362 10.625
Ru -4.307 0.000 12.147
Ru -2.154 1.243 4.049
Ru 2.154 1.243 4.049
I 0.000 0.000 0.000
I -2.154 -1.243 8.098
I -2.154 1.243 16.196
I 0.000 2.487 8.098
Br 0.000 0.000 12.147
CELL_PARAMETERS angstrom
4.307 2.487 8.098
-4.307 2.487 8.098
0.000 -4.974 8.098
! DOS(E_F): 9.27 states/eV/f.u.
! Density: 6.44 g/cm³
! Magnetization: 0.00 μB/cell
! Space group: R-3m (166)
! Formation energy from raw total energies: -744 meV/atom

---

- Number 3 is which compound?
  Pr8Ru3I4Br